DFT (GGA-PBE) results for crystalline CsCaSe2N at its relaxed geometry.

Unit cell a=5.928 b=5.928 c=4.491 alpha=90.00 beta=90.00 gamma=90.00
Last column: magnetic moment on the atom in μB.
Sites, in units of the cell vectors:
Cs  0.000  0.000  0.000  0.09
Ca  0.500  0.500  0.500  -0.01
Se  0.000  0.500  0.000  0.21
Se  0.500  0.000  0.000  0.21
N  0.000  0.000  0.500  0.70

Summary:
**Energy above the most stable polymorph in this dataset**: 4.34 eV per formula unit
**N(E_F)**: 0.75 states/eV per atom
**DFT total energy**: -13.96 eV/f.u.
**Space group**: P4/mmm (123)
**Energy relative to the elements, uncorrected**: 0.838 eV per atom
**Theoretical density**: 3.6 g/cm3